[1]
## LiIn2Hg (PBE)

Data for a relaxed structure of LiIn2Hg.

Computed properties:
Space group   P4/mmm (123)
Mass density   8.0 g/cm³
Total energy   -2.09 eV/atom
ΔE_f   -0.16 eV per atom
Magnetic moment   0.0 μB per formula unit

abc: 4.443 4.445 4.603
angles: 90.00 90.00 90.00
Element x y z (fractional)
1 Hg 0.000 0.500 0.500
2 In 0.500 0.500 0.000
3 In 0.000 0.000 0.000
4 Li 0.500 0.000 0.500

***

[2]
## BaSbP2 (PBE)

Data for a relaxed structure of BaSbP2.

Computed properties:
Space group   Pmmm (47)
Mass density   5.2 g/cm³
Total energy   -4.37 eV/atom
ΔE_f (raw)   -0.154 eV/atom
Magnetic moment   0.0 μB per formula unit

abc: 4.174 3.783 6.506
angles: 90.00 90.00 90.00
Element x y z (fractional)
1 Sb 0.500 0.500 0.250
2 P 0.000 0.000 0.423
3 P 0.000 0.000 0.077
4 Ba 0.500 0.500 0.750

***

[3]
## Mo2NCl (PBE)

Data for a relaxed structure of Mo2NCl.

Computed properties:
Space group   I-42d (122)
Mass density   6.5 g/cm³
Energy above the lowest structure with this stoichiometry   0 meV per atom
Total energy   -7.71 eV/atom
ΔE_f (raw)   0.251 eV/atom
Magnetic moment   0.0 μB per formula unit

abc: 4.417 4.417 7.035
angles: 71.70 71.70 90.00
Element x y z (fractional)
1 N 0.250 0.750 0.500
2 N 0.500 0.500 0.000
3 Mo 0.875 0.791 0.750
4 Mo 0.209 0.625 0.250
5 Mo 0.375 0.459 0.750
6 Mo 0.541 0.125 0.250
7 Cl 0.750 0.250 0.500
8 Cl 0.000 0.000 0.000

***

[4]
## K2BaRe (PBE)

Data for a relaxed structure of K2BaRe.

Computed properties:
Space group   I4/mmm (139)
Mass density   4.2 g/cm³
Energy above the lowest structure with this stoichiometry   203 meV per atom
Total energy   -2.82 eV/atom
ΔE_f   1.32 eV per atom
Magnetic moment   3.0 μB per formula unit

abc: 7.378 7.378 7.378
angles: 140.63 140.63 56.90
Element x y z (fractional)
1 Re 0.250 0.750 0.500
2 K 0.000 0.000 0.000
3 K 0.500 0.500 0.000
4 Ba 0.750 0.250 0.500

***

[5]
## Ti8C3N (PBE)

Data for a relaxed structure of Ti8C3N.

Computed properties:
Space group   P6_3mc (186)
Mass density   4.6 g/cm³
Total energy   -9.05 eV/atom
ΔE_f (raw)   -0.784 eV/atom
Magnetic moment   0.0 μB per formula unit

abc: 6.058 6.058 9.873
angles: 90.00 90.00 120.00
Element x y z (fractional)
1 Ti 0.492 0.508 0.343
2 Ti 0.000 0.000 0.830
3 Ti 0.671 0.835 0.592
4 Ti 0.835 0.165 0.092
5 Ti 0.835 0.671 0.092
6 Ti 0.667 0.333 0.600
7 Ti 0.508 0.492 0.843
8 Ti 0.508 0.016 0.843
9 Ti 0.165 0.835 0.592
10 Ti 0.329 0.165 0.092
11 Ti 0.016 0.508 0.343
12 Ti 0.492 0.984 0.343
13 Ti 0.165 0.329 0.592
14 Ti 0.000 0.000 0.330
15 Ti 0.333 0.667 0.100
16 Ti 0.984 0.492 0.843
17 C 0.167 0.334 0.216
18 C 0.833 0.666 0.716
19 C 0.666 0.833 0.216
20 C 0.833 0.167 0.716
21 C 0.334 0.167 0.716
22 C 0.167 0.833 0.216
23 N 0.333 0.667 0.472
24 N 0.667 0.333 0.972

***

[6]
## MgSbAs2 (PBE)

Data for a relaxed structure of MgSbAs2.

Computed properties:
Space group   I4/mmm (139)
Mass density   5.6 g/cm³
Energy above the lowest structure with this stoichiometry   241 meV per atom
Total energy   -3.68 eV/atom
ΔE_f (raw)   0.071 eV/atom
Magnetic moment   0.0 μB per formula unit

abc: 4.869 4.869 4.869
angles: 114.40 114.40 100.02
Element x y z (fractional)
1 Mg 0.250 0.750 0.500
2 Sb 0.750 0.250 0.500
3 As 0.500 0.500 0.000
4 As 0.000 0.000 0.000